(1)
The following is a DFT calculation (GGA-PBE) of Sr4PdI2 after structural relaxation.

Lattice parameters (Å, degrees): 9.4962 9.4962 9.4962 143.00 143.00 53.32
With the nearest neighbours (Å) after each atom.
Positions (direct):
Sr 0.0000 0.5000 0.5000  2 Pd 3.01
Sr 0.1796 0.1796 0.0000  1 Pd 3.05, 1 I 3.39
Sr 0.5000 0.0000 0.5000  2 Pd 3.01
Sr 0.8204 0.8204 0.0000  1 Pd 3.05, 1 I 3.39
Pd 0.0000 0.0000 0.0000  6 Sr 3.01-3.05
I 0.3791 0.3791 0.0000  5 Sr 3.39-3.65
I 0.6209 0.6209 0.0000  5 Sr 3.39-3.65

DFT total energy   -2.854 eV/atom
E_form (uncorrected)   -708 meV per atom
SG   I4/mmm, No. 139
Crystal system   tetragonal


(2)
The following is a DFT calculation (GGA-PBE) of SrPdI2 after structural relaxation.

Lattice parameters (Å, degrees): 9.1867 9.1867 9.1867 140.61 140.61 56.92
With the nearest neighbours (Å) after each atom.
Positions (direct):
Sr 0.0000 0.0000 0.0000  4 I 3.17
Sr 0.7500 0.2500 0.5000  4 I 3.17
Pd 0.2500 0.7500 0.5000  4 I 2.81
Pd 0.5000 0.5000 0.0000  4 I 2.81
I 0.1814 0.6250 0.0564  2 Pd 2.81
I 0.3750 0.4314 0.5564  2 Pd 2.81
I 0.5686 0.1250 0.9436  2 Pd 2.81
I 0.8750 0.8186 0.4436  2 Pd 2.81

DFT total energy   -3.298 eV/atom
E_form (uncorrected)   -805 meV per atom
SG   I-42d, No. 122
Polymorph energy (0 for the lowest one)   0 meV/atom
Crystal system   tetragonal


(3)
The following is a DFT calculation (GGA-PBE) of SrPdI2 after structural relaxation.

Lattice parameters (Å, degrees): 5.5323 5.5323 5.5323 60.00 60.00 60.00
With the nearest neighbours (Å) after each atom.
Positions (direct):
Sr 0.0000 0.0000 0.0000  8 I 3.39
Pd 0.5000 0.5000 0.5000  8 I 3.39
I 0.2500 0.2500 0.2500  4 Pd 3.39, 4 Sr 3.39
I 0.7500 0.7500 0.7500  4 Pd 3.39, 4 Sr 3.39

DFT total energy   -3.261 eV/atom
E_form (uncorrected)   -767 meV per atom
SG   Fm-3m, No. 225
Polymorph energy (0 for the lowest one)   37 meV/atom
Crystal system   cubic


(4)
The following is a DFT calculation (GGA-PBE) of Sr3Pd5I12 after structural relaxation.

Lattice parameters (Å, degrees): 15.4815 15.4815 15.4815 109.47 109.47 109.47
With the nearest neighbours (Å) after each atom.
Positions (direct):
Sr 0.1250 0.2500 0.3750  8 I 3.42-3.59
Sr 0.1250 0.3750 0.7500  8 I 3.42-3.59
Sr 0.2500 0.3750 0.1250  8 I 3.42-3.59
Sr 0.2500 0.8750 0.6250  8 I 3.42-3.59
Sr 0.3750 0.1250 0.2500  8 I 3.42-3.59
Sr 0.3750 0.7500 0.1250  8 I 3.42-3.59
Sr 0.6250 0.2500 0.8750  8 I 3.42-3.59
Sr 0.6250 0.8750 0.7500  8 I 3.42-3.59
Sr 0.7500 0.1250 0.3750  8 I 3.42-3.59
Sr 0.7500 0.6250 0.8750  8 I 3.42-3.59
Sr 0.8750 0.6250 0.2500  8 I 3.42-3.59
Sr 0.8750 0.7500 0.6250  8 I 3.42-3.59
Pd 0.0000 0.0000 0.0000  6 I 2.84
Pd 0.0000 0.0000 0.5000  6 I 2.84
Pd 0.0000 0.5000 0.0000  6 I 2.84
Pd 0.0000 0.5000 0.5000  6 I 2.84
Pd 0.1250 0.7500 0.8750  4 I 2.70
Pd 0.1250 0.8750 0.2500  4 I 2.70
Pd 0.2500 0.1250 0.8750  4 I 2.70
Pd 0.2500 0.6250 0.3750  4 I 2.70
Pd 0.3750 0.2500 0.6250  4 I 2.70
Pd 0.3750 0.6250 0.7500  4 I 2.70
Pd 0.5000 0.0000 0.0000  6 I 2.84
Pd 0.5000 0.0000 0.5000  6 I 2.84
Pd 0.5000 0.5000 0.0000  6 I 2.84
Pd 0.5000 0.5000 0.5000  6 I 2.84
Pd 0.6250 0.3750 0.2500  4 I 2.70
Pd 0.6250 0.7500 0.3750  4 I 2.70
Pd 0.7500 0.3750 0.6250  4 I 2.70
Pd 0.7500 0.8750 0.1250  4 I 2.70
Pd 0.8750 0.1250 0.7500  4 I 2.70
Pd 0.8750 0.2500 0.1250  4 I 2.70
I 0.0249 0.1998 0.1199  2 Pd 2.70-2.84
I 0.0249 0.3250 0.9050  2 Pd 2.70-2.84
I 0.0799 0.6998 0.6750  2 Pd 2.70-2.84
I 0.0799 0.8801 0.4050  2 Pd 2.70-2.84
I 0.0950 0.6199 0.4201  2 Pd 2.70-2.84
I 0.0950 0.9751 0.6750  2 Pd 2.70-2.84
I 0.1199 0.0249 0.1998  2 Pd 2.70-2.84
I 0.1199 0.5950 0.9201  2 Pd 2.70-2.84
I 0.1750 0.1998 0.5799  2 Pd 2.70-2.84
I 0.1750 0.4751 0.5950  2 Pd 2.70-2.84
I 0.1998 0.1199 0.0249  2 Pd 2.70-2.84
I 0.1998 0.5799 0.1750  2 Pd 2.70-2.84
I 0.3002 0.3250 0.9201  2 Pd 2.70-2.84
I 0.3002 0.4751 0.3801  2 Pd 2.70-2.84
I 0.3250 0.9050 0.0249  2 Pd 2.70-2.84
I 0.3250 0.9201 0.3002  2 Pd 2.70-2.84
I 0.3801 0.3002 0.4751  2 Pd 2.70-2.84
I 0.3801 0.5799 0.9050  2 Pd 2.70-2.84
I 0.4050 0.0799 0.8801  2 Pd 2.70-2.84
I 0.4050 0.8250 0.5249  2 Pd 2.70-2.84
I 0.4201 0.0950 0.6199  2 Pd 2.70-2.84
I 0.4201 0.8250 0.8002  2 Pd 2.70-2.84
I 0.4751 0.3801 0.3002  2 Pd 2.70-2.84
I 0.4751 0.5950 0.1750  2 Pd 2.70-2.84
I 0.5249 0.4050 0.8250  2 Pd 2.70-2.84
I 0.5249 0.6199 0.6998  2 Pd 2.70-2.84
I 0.5799 0.1750 0.1998  2 Pd 2.70-2.84
I 0.5799 0.9050 0.3801  2 Pd 2.70-2.84
I 0.5950 0.1750 0.4751  2 Pd 2.70-2.84
I 0.5950 0.9201 0.1199  2 Pd 2.70-2.84
I 0.6199 0.4201 0.0950  2 Pd 2.70-2.84
I 0.6199 0.6998 0.5249  2 Pd 2.70-2.84
I 0.6750 0.0799 0.6998  2 Pd 2.70-2.84
I 0.6750 0.0950 0.9751  2 Pd 2.70-2.84
I 0.6998 0.5249 0.6199  2 Pd 2.70-2.84
I 0.6998 0.6750 0.0799  2 Pd 2.70-2.84
I 0.8002 0.4201 0.8250  2 Pd 2.70-2.84
I 0.8002 0.8801 0.9751  2 Pd 2.70-2.84
I 0.8250 0.5249 0.4050  2 Pd 2.70-2.84
I 0.8250 0.8002 0.4201  2 Pd 2.70-2.84
I 0.8801 0.4050 0.0799  2 Pd 2.70-2.84
I 0.8801 0.9751 0.8002  2 Pd 2.70-2.84
I 0.9050 0.0249 0.3250  2 Pd 2.70-2.84
I 0.9050 0.3801 0.5799  2 Pd 2.70-2.84
I 0.9201 0.1199 0.5950  2 Pd 2.70-2.84
I 0.9201 0.3002 0.3250  2 Pd 2.70-2.84
I 0.9751 0.6750 0.0950  2 Pd 2.70-2.84
I 0.9751 0.8002 0.8801  2 Pd 2.70-2.84

DFT total energy   -3.194 eV/atom
E_form (uncorrected)   -714 meV per atom
SG   Ia-3d, No. 230
Crystal system   cubic


(5)
The following is a DFT calculation (GGA-PBE) of Sr3PdI2 after structural relaxation.

Lattice parameters (Å, degrees): 8.8408 8.8408 8.8408 150.71 137.15 52.75
With the nearest neighbours (Å) after each atom.
Positions (direct):
Sr 0.0000 0.0000 0.0000  2 Pd 3.23
Sr 0.3718 0.3718 0.0000  2 Pd 3.02
Sr 0.6282 0.6282 0.0000  2 Pd 3.02
Pd 0.5000 0.0000 0.5000  6 Sr 3.02-3.23
I 0.1958 0.6958 0.5000  4 Sr 3.40-3.57
I 0.8042 0.3042 0.5000  4 Sr 3.40-3.57

DFT total energy   -3.252 eV/atom
E_form (uncorrected)   -1029 meV per atom
SG   Immm, No. 71
Crystal system   orthorhombic


(6)
The following is a DFT calculation (GGA-PBE) of SrPdI6 after structural relaxation.

Lattice parameters (Å, degrees): 7.2058 7.2220 8.1347 90.12 116.16 119.89
With the nearest neighbours (Å) after each atom.
Positions (direct):
Sr 0.0000 0.0000 0.0000  6 I 3.38-3.39
Pd 0.0000 0.5000 0.5000  6 I 2.73
I 0.1833 0.4774 0.2751  1 Pd 2.73
I 0.2014 0.2949 0.7249  1 Pd 2.73
I 0.4290 0.9060 0.7254  1 Pd 2.73
I 0.5710 0.0940 0.2746  1 Pd 2.73
I 0.7986 0.7051 0.2751  1 Pd 2.73
I 0.8167 0.5226 0.7249  1 Pd 2.73

DFT total energy   -2.605 eV/atom
E_form (uncorrected)   -583 meV per atom
SG   P-1, No. 2
Crystal system   triclinic


(7)
The following is a DFT calculation (GGA-PBE) of SrPdI2 after structural relaxation.

Lattice parameters (Å, degrees): 9.5995 9.5995 9.5995 26.45 26.45 26.45
With the nearest neighbours (Å) after each atom.
Positions (direct):
Sr 0.0000 0.0000 0.0000  2 I 3.16
Pd 0.5000 0.5000 0.5000  6 I 2.93
I 0.1137 0.1137 0.1137  3 Pd 2.93, 1 Sr 3.16
I 0.8863 0.8863 0.8863  3 Pd 2.93, 1 Sr 3.16

DFT total energy   -2.807 eV/atom
E_form (uncorrected)   -314 meV per atom
SG   R-3m, No. 166
Polymorph energy (0 for the lowest one)   491 meV/atom
Crystal system   trigonal


(8)
The following is a DFT calculation (GGA-PBE) of SrTe2PdI after structural relaxation.

Lattice parameters (Å, degrees): 6.3201 6.3201 6.2353 90.00 90.00 90.00
With the nearest neighbours (Å) after each atom.
Positions (direct):
Sr 0.0000 0.0000 0.0000  2 I 3.12, 4 Te 3.16
Te 0.0000 0.5000 0.0000  2 Sr 3.16
Te 0.5000 0.0000 0.0000  2 Sr 3.16
Pd 0.5000 0.5000 0.5000  8 Te 4.44, 4 I 4.47
I 0.0000 0.0000 0.5000  2 Sr 3.12

DFT total energy   -2.596 eV/atom
E_form (uncorrected)   345 meV per atom
SG   P4/mmm, No. 123
Polymorph energy (0 for the lowest one)   963 meV/atom
Crystal system   tetragonal


| no. | total magnetic moment (Bohr magnetons per cell) |
| --- | --- |
| 1 | 0.01 |
| 2 | 0.00 |
| 3 | 0.00 |
| 4 | 0.00 |
| 5 | 0.00 |
| 6 | 0.00 |
| 7 | 0.53 |
| 8 | 2.72 |